DFT (PBE-GGA) results for a geometry-optimized NiBTeI2 structure.

Distance to the lowest polymorph of the same formula = 0.068 eV/atom
VASP energy = -0.09463 hartree per atom
Space-group type = P4/mmm, No. 123

Lattice parameters (Å, degrees): 4.9779 4.9779 4.9689 90.00 90.00 90.00
Site moments in Bohr magnetons follow the coordinates.
Positions (direct):
I (0.0000, 0.5000, 0.0000)  0.04
I (0.5000, 0.0000, 0.0000)  0.04
Ni (0.5000, 0.5000, 0.5000)  0.98
B (0.0000, 0.0000, 0.0000)  -0.01
Te (0.0000, 0.0000, 0.5000)  0.10



DFT (PBE-GGA) results for a geometry-optimized RbLiSn2F6 structure.

VASP energy = -0.17265 hartree per atom
Space-group type = C2/c, No. 15

Lattice parameters (Å, degrees): 7.3916 7.7300 7.7300 92.57 76.39 76.39
Positions (direct):
Rb (0.2500, 0.9052, 0.0948)
Rb (0.7500, 0.0948, 0.9052)
Li (0.2500, 0.2470, 0.7530)
Li (0.7500, 0.7530, 0.2470)
Sn (0.2655, 0.7817, 0.5790)
Sn (0.2345, 0.4210, 0.2183)
Sn (0.7345, 0.2183, 0.4210)
Sn (0.7655, 0.5790, 0.7817)
F (0.1657, 0.0246, 0.7569)
F (0.3343, 0.2431, 0.9754)
F (0.8343, 0.9754, 0.2431)
F (0.6657, 0.7569, 0.0246)
F (0.5493, 0.7884, 0.4572)
F (0.9507, 0.5428, 0.2116)
F (0.4507, 0.2116, 0.5428)
F (0.0493, 0.4572, 0.7884)
F (0.8662, 0.7880, 0.6742)
F (0.6338, 0.3258, 0.2120)
F (0.1338, 0.2120, 0.3258)
F (0.3662, 0.6742, 0.7880)



DFT (PBE-GGA) results for a geometry-optimized BN2ClF structure.

Distance to the lowest polymorph of the same formula = 1.276 eV/atom
VASP energy = -0.10790 hartree per atom
Space-group type = P4/mmm, No. 123

Lattice parameters (Å, degrees): 3.5071 3.5071 5.8276 90.00 90.00 90.00
Positions (direct):
N (0.0000, 0.5000, 0.0000)
N (0.5000, 0.0000, 0.0000)
F (0.0000, 0.0000, 0.5000)
B (0.5000, 0.5000, 0.5000)
Cl (0.0000, 0.0000, 0.0000)



Question: Which formula does entry 1 have?
Answer: NiBTeI2



Question: What is the formula in the third record?
Answer: BN2ClF